# 1
# TbPdAu2 (PBE, relaxed)
data_TbPdAu2
_cell_length_a 6.828
_cell_length_b 6.828
_cell_length_c 6.828
_cell_angle_alpha 90.00
_cell_angle_beta 90.00
_cell_angle_gamma 90.00
_symmetry_space_group_name_H-M 'F m -3 m'
_symmetry_Int_Tables_number 225
_symmetry_space_group_name_Hall '-F 4 2 3'
loop_
_atom_site_label
_atom_site_type_symbol
_atom_site_fract_x
_atom_site_fract_y
_atom_site_fract_z
Tb1 Tb 0.000 0.000 0.000
Pd1 Pd 0.000 0.000 0.500
Au1 Au 0.250 0.250 0.250
# N(E_F): 0.7 states/eV/f.u.
# E_form: -0.69 eV/atom
# Electronic total energy: -4.78 eV/atom
# M_tot: 0.0000 μB/atom

---

# 2
# Ac6Pt2S3Cl (PBE, relaxed)
data_Ac6Pt2S3Cl
_cell_length_a 19.433
_cell_length_b 4.274
_cell_length_c 8.980
_cell_angle_alpha 90.00
_cell_angle_beta 104.58
_cell_angle_gamma 90.00
_symmetry_space_group_name_H-M 'C 1 2/m 1'
_symmetry_Int_Tables_number 12
loop_
_symmetry_equiv_pos_as_xyz
'x,y,z'
'-x,-y,-z'
'-x,y,-z'
'x,-y,z'
'x+1/2,y+1/2,z'
'-x+1/2,-y+1/2,-z'
'-x+1/2,y+1/2,-z'
'x+1/2,-y+1/2,z'
loop_
_atom_site_label
_atom_site_type_symbol
_atom_site_fract_x
_atom_site_fract_y
_atom_site_fract_z
Ac1 Ac 0.002 0.000 0.266
Ac2 Ac 0.169 0.500 0.572
Ac3 Ac 0.174 0.500 0.093
Pt1 Pt 0.165 0.000 0.326
S1 S 0.000 0.500 0.500
S2 S 0.160 0.000 0.832
Cl1 Cl 0.000 0.500 0.000
# N(E_F): 7.8 states/eV/f.u.
# Energy relative to the elements, uncorrected: -37.01 kcal/mol of atoms
# Electronic total energy: -5.85 eV/atom
# M_tot: 0.0000 μB/atom